[1]
TiFe2As PBE relaxed; space-group type = I-42d, No. 122; E_tot = -7.1979 eV per atom
1.0
-3.436 3.436 2.532
3.436 -3.436 2.532
3.436 3.436 -2.532
Ti Fe As
2 4 2
direct
0.000 0.000 0.000
0.750 0.250 0.500
0.149 0.125 0.524
0.375 0.851 0.976
0.601 0.625 0.476
0.875 0.399 0.024
0.250 0.750 0.500
0.500 0.500 0.000

---

[2]
Ti3FeAs PBE relaxed; space-group type = Pm-3m, No. 221; E_tot = -7.3050 eV per atom; energy relative to the lowest polymorph listed for this composition = 0.000 eV per atom
1.0
4.448 0.000 0.000
0.000 4.448 0.000
0.000 0.000 4.448
Ti Fe As
3 1 1
direct
0.000 0.000 0.500
0.000 0.500 0.000
0.500 0.000 0.000
0.000 0.000 0.000
0.500 0.500 0.500

---

[3]
Ti5Fe2As5 PBE relaxed; space-group type = I4mm, No. 107; E_tot = -7.0820 eV per atom
1.0
-4.147 4.147 3.039
4.147 -4.147 3.039
4.147 4.147 -3.039
Ti Fe As
5 2 5
direct
0.000 0.000 0.000
0.376 0.376 0.595
0.376 0.781 0.000
0.781 0.376 0.000
0.781 0.781 0.405
0.141 0.641 0.500
0.641 0.141 0.500
0.184 0.893 0.290
0.417 0.417 0.000
0.603 0.893 0.710
0.893 0.184 0.290
0.893 0.603 0.710

---

[4]
TiFeAs2 PBE relaxed; space-group type = I-42d, No. 122; E_tot = -6.3654 eV per atom; energy relative to the lowest polymorph listed for this composition = 0.356 eV per atom
1.0
-2.834 2.834 5.645
2.834 -2.834 5.645
2.834 2.834 -5.645
Ti Fe As
2 2 4
direct
0.000 0.000 0.000
0.750 0.250 0.500
0.250 0.750 0.500
0.500 0.500 0.000
0.139 0.625 0.014
0.375 0.389 0.514
0.611 0.125 0.986
0.875 0.861 0.486

---

[5]
Ti3FeAs PBE relaxed; space-group type = Pm-3m, No. 221; E_tot = -6.9261 eV per atom; energy relative to the lowest polymorph listed for this composition = 0.379 eV per atom
1.0
4.648 0.000 0.000
0.000 4.648 0.000
0.000 0.000 4.648
Ti Fe As
3 1 1
direct
0.000 0.000 0.500
0.000 0.500 0.000
0.500 0.000 0.000
0.500 0.500 0.500
0.000 0.000 0.000

---

[6]
Ti2Fe2As PBE relaxed; space-group type = P4/mbm, No. 127; E_tot = -7.7202 eV per atom
1.0
5.820 0.000 0.000
0.000 5.820 0.000
0.000 0.000 4.140
Ti Fe As
4 4 2
direct
0.181 0.319 0.000
0.319 0.819 0.000
0.681 0.181 0.000
0.819 0.681 0.000
0.132 0.632 0.500
0.368 0.132 0.500
0.632 0.868 0.500
0.868 0.368 0.500
0.000 0.000 0.500
0.500 0.500 0.500

---

[7]
Ti2FeAs PBE relaxed; space-group type = I-42d, No. 122; E_tot = -7.3177 eV per atom
1.0
-3.366 3.366 2.708
3.366 -3.366 2.708
3.366 3.366 -2.708
Ti Fe As
4 2 2
direct
0.091 0.625 0.966
0.375 0.341 0.466
0.659 0.125 0.034
0.875 0.909 0.534
0.000 0.000 0.000
0.750 0.250 0.500
0.250 0.750 0.500
0.500 0.500 0.000

---

[8]
TiFeAs2 PBE relaxed; space-group type = Fm-3m, No. 225; E_tot = -6.6297 eV per atom; energy relative to the lowest polymorph listed for this composition = 0.092 eV per atom
1.0
0.000 3.106 3.106
3.106 0.000 3.106
3.106 3.106 0.000
Ti Fe As
1 1 2
direct
0.000 0.000 0.000
0.500 0.500 0.500
0.250 0.250 0.250
0.750 0.750 0.750

---

[9]
TiFe3As PBE relaxed; space-group type = Pm-3m, No. 221; E_tot = -6.4458 eV per atom; energy relative to the lowest polymorph listed for this composition = 0.450 eV per atom
1.0
4.376 0.000 0.000
0.000 4.376 0.000
0.000 0.000 4.376
Ti Fe As
1 3 1
direct
0.000 0.000 0.000
0.000 0.000 0.500
0.000 0.500 0.000
0.500 0.000 0.000
0.500 0.500 0.500

---

[10]
TiFe3As PBE relaxed; space-group type = Pm-3m, No. 221; E_tot = -6.8958 eV per atom; energy relative to the lowest polymorph listed for this composition = 0.000 eV per atom
1.0
4.218 0.000 0.000
0.000 4.218 0.000
0.000 0.000 4.218
Ti Fe As
1 3 1
direct
0.000 0.000 0.000
0.000 0.500 0.500
0.500 0.000 0.500
0.500 0.500 0.000
0.500 0.500 0.500

---

[11]
TiFe2As PBE relaxed; space-group type = P4/mmm, No. 123; E_tot = -7.6698 eV per atom
1.0
3.932 0.000 0.000
0.000 3.932 0.000
0.000 0.000 3.193
Ti Fe As
1 2 1
direct
0.000 0.000 0.000
0.000 0.500 0.500
0.500 0.000 0.500
0.500 0.500 0.000

---

[12]
Ti2FeAs2 PBE relaxed; space-group type = Cmc2_1, No. 36; E_tot = -7.3775 eV per atom; energy relative to the lowest polymorph listed for this composition = 0.000 eV per atom
1.0
1.963 -6.734 0.000
1.963 6.734 0.000
0.000 0.000 5.880
Ti Fe As
4 2 4
direct
0.004 0.996 0.500
0.198 0.802 0.776
0.802 0.198 0.276
0.996 0.004 0.000
0.400 0.600 0.632
0.600 0.400 0.132
0.172 0.828 0.275
0.429 0.571 0.246
0.571 0.429 0.746
0.828 0.172 0.775

---

What are the energy of formation values for these records? In order: 0.170, 0.054, -0.445, 0.049, 0.433, -0.247, -0.092, -0.216, 1.141, 0.691, -0.302, -0.667 eV/atom.